Record 1
First-principles (PBE-GGA) data for a geometry-optimized K2GeO3 structure, as listed in Alexandria via LeMat-Bulk.

Output
Symmetry: No. 15

Cell: 5.406 6.182 6.182 Å, 69.86 85.25 85.25°
Fractional positions:
K: 0.725 0.199 0.483
K: 0.225 0.483 0.199
K: 0.775 0.517 0.801
K: 0.275 0.801 0.517
Ge: 0.750 0.918 0.082
Ge: 0.250 0.082 0.918
O: 0.250 0.330 0.670
O: 0.750 0.670 0.330
O: 0.983 0.909 0.849
O: 0.517 0.151 0.091
O: 0.483 0.849 0.909
O: 0.017 0.091 0.151

=====

Record 2
First-principles (PBE-GGA) data for a geometry-optimized K2GeO2 structure, as listed in Alexandria via LeMat-Bulk.

Output
Symmetry: No. 14

Cell: 6.779 9.467 8.051 Å, 90.00 110.12 90.00°
Fractional positions:
K: 0.552 0.246 0.012
K: 0.052 0.254 0.012
K: 0.948 0.746 0.988
K: 0.448 0.754 0.988
K: 0.040 0.673 0.434
K: 0.540 0.827 0.434
K: 0.460 0.173 0.566
K: 0.960 0.327 0.566
Ge: 0.419 0.479 0.312
Ge: 0.581 0.521 0.688
Ge: 0.919 0.021 0.312
Ge: 0.081 0.979 0.688
O: 0.781 0.864 0.207
O: 0.281 0.636 0.207
O: 0.719 0.364 0.793
O: 0.219 0.136 0.793
O: 0.676 0.549 0.488
O: 0.176 0.951 0.488
O: 0.824 0.049 0.512
O: 0.324 0.451 0.512

=====

Results for formation energy from raw total energies: -1.722 -1.436 (in eV/atom, following the order of the records).
Results for density: 3.422 2.503 (in Mg/m³, following the order of the records).